Arrangement 1

# Ba2Ag2Ge

A relaxed Ba2Ag2Ge crystal (PBE-GGA, Alexandria).

Results
Its density of states at the Fermi level is 0.0 states/eV/f.u.

a = 6.052 Å, b = 6.052 Å, c = 6.052 Å
α = 115.25°, β = 115.25°, γ = 98.45°
Positions (direct):
Ba  0.250  0.750  0.500
Ba  0.750  0.250  0.500
Ag  0.168  0.168  0.000
Ag  0.832  0.832  0.000
Ge  0.500  0.500  0.000

***

Arrangement 2

# Ba2Ag2Ge

A relaxed Ba2Ag2Ge crystal (PBE-GGA, Alexandria).

Results
Its density of states at the Fermi level is 1.9 states/eV/f.u.

a = 10.261 Å, b = 10.261 Å, c = 10.261 Å
α = 157.57°, β = 157.57°, γ = 31.92°
Positions (direct):
Ba  0.101  0.101  0.000
Ba  0.899  0.899  0.000
Ag  0.250  0.750  0.500
Ag  0.750  0.250  0.500
Ge  0.500  0.500  0.000

***

Which is most stable, and by how much? arrangement 2, by 32 meV per atom.

***

Arrangement 1

# Ba2Ag2Ge

A relaxed Ba2Ag2Ge crystal (PBE-GGA, Alexandria).

Results
Its density of states at the Fermi level is 3.7 states/eV/f.u.

a = 8.096 Å, b = 8.096 Å, c = 4.750 Å
α = 90.00°, β = 90.00°, γ = 90.00°
Positions (direct):
Ba  0.187  0.313  0.000
Ba  0.313  0.813  0.000
Ba  0.687  0.187  0.000
Ba  0.813  0.687  0.000
Ag  0.122  0.622  0.500
Ag  0.378  0.122  0.500
Ag  0.622  0.878  0.500
Ag  0.878  0.378  0.500
Ge  0.000  0.000  0.500
Ge  0.500  0.500  0.500

***

Arrangement 2

# Ba2Ag2Ge

A relaxed Ba2Ag2Ge crystal (PBE-GGA, Alexandria).

Results
Its density of states at the Fermi level is 3.0 states/eV/f.u.

a = 6.598 Å, b = 6.598 Å, c = 12.610 Å
α = 113.64°, β = 113.64°, γ = 41.60°
Positions (direct):
Ba  0.094  0.094  0.388
Ba  0.298  0.298  0.867
Ba  0.702  0.702  0.133
Ba  0.906  0.906  0.612
Ag  0.037  0.037  0.907
Ag  0.390  0.390  0.381
Ag  0.610  0.610  0.619
Ag  0.963  0.963  0.093
Ge  0.435  0.435  0.177
Ge  0.565  0.565  0.823

***

Which is most stable, and by how much? arrangement 2, by 144 meV per atom.

***

Arrangement 1

# Ba3Ag4Ge4

A relaxed Ba3Ag4Ge4 crystal (PBE-GGA, Alexandria).

Results
Its density of states at the Fermi level is 8.4 states/eV/f.u.

a = 4.688 Å, b = 4.750 Å, c = 13.820 Å
α = 80.20°, β = 80.24°, γ = 89.84°
Positions (direct):
Ba  0.000  0.000  0.000
Ba  0.349  0.848  0.303
Ba  0.651  0.152  0.697
Ag  0.197  0.694  0.605
Ag  0.447  0.446  0.109
Ag  0.553  0.554  0.891
Ag  0.803  0.306  0.395
Ge  0.096  0.596  0.806
Ge  0.251  0.245  0.500
Ge  0.749  0.755  0.500
Ge  0.904  0.404  0.194

***

Arrangement 2

# Ba3Ag4Ge4

A relaxed Ba3Ag4Ge4 crystal (PBE-GGA, Alexandria).

Results
Its density of states at the Fermi level is 5.3 states/eV/f.u.

a = 4.662 Å, b = 4.737 Å, c = 13.719 Å
α = 99.94°, β = 99.71°, γ = 90.05°
Positions (direct):
Ba  0.000  0.000  0.000
Ba  0.350  0.850  0.700
Ba  0.650  0.150  0.300
Ag  0.098  0.598  0.195
Ag  0.250  0.251  0.499
Ag  0.750  0.749  0.501
Ag  0.902  0.402  0.805
Ge  0.198  0.699  0.397
Ge  0.453  0.454  0.906
Ge  0.547  0.546  0.094
Ge  0.802  0.301  0.603

***

Which is most stable, and by how much? arrangement 2, by 70 meV per atom.